Below is an optimized crystal structure of Er8SiBi2, with properties calculated at the PBE level.

formation energy without anion corrections	-0.36	eV/atom
raw total energy	-4.8809	eV/atom
calculated volume	622.8	Å³/cell

The structure in CIF format:
```
data_Er8SiBi2
_cell_length_a 18.227
_cell_length_b 5.018
_cell_length_c 6.814
_cell_angle_alpha 90.00
_cell_angle_beta 91.90
_cell_angle_gamma 90.00
_space_group_name_H-M_alt 'C 1 2/m 1'
_space_group_IT_number 12
_space_group_name_Hall '-C 2y'
loop_
_atom_site_label
_atom_site_fract_x
_atom_site_fract_y
_atom_site_fract_z
Er1 0.025 0.000 0.261
Er2 0.091 0.500 0.932
Er3 0.150 0.500 0.416
Er4 0.217 0.000 0.140
Si1 0.000 0.500 0.500
Bi1 0.172 0.000 0.682
```

=====

Below is an optimized crystal structure of Ba4AlZn4, with properties calculated at the PBE level.

raw total energy	-1.9463	eV/atom
calculated volume	617.4	Å³/cell
ΔE_f	-0.11	eV per atom

The structure in CIF format:
```
data_Ba4AlZn4
_cell_length_a 9.508
_cell_length_b 9.508
_cell_length_c 6.830
_cell_angle_alpha 90.00
_cell_angle_beta 90.00
_cell_angle_gamma 90.00
_space_group_name_H-M_alt 'P 42/n'
_space_group_IT_number 86
loop_
_space_group_symop_operation_xyz
'x,y,z'
'-x,-y,-z'
'-y,x+1/2,z+1/2'
'y,-x+1/2,-z+1/2'
'-x+1/2,-y+1/2,z'
'x+1/2,y+1/2,-z'
'y+1/2,-x,z+1/2'
'-y+1/2,x,-z+1/2'
loop_
_atom_site_label
_atom_site_fract_x
_atom_site_fract_y
_atom_site_fract_z
Ba1 0.029 0.817 0.103
Al1 0.250 0.250 0.250
Zn1 0.025 0.129 0.395
```

=====

Below is an optimized crystal structure of NaNbHg, with properties calculated at the PBE level.

raw total energy	-3.5266	eV/atom
calculated volume	136.1	Å³/cell
ΔE_f	0.37	eV per atom

The structure in CIF format:
```
data_NaNbHg
_cell_length_a 2.987
_cell_length_b 5.406
_cell_length_c 8.429
_cell_angle_alpha 90.00
_cell_angle_beta 90.39
_cell_angle_gamma 90.00
_space_group_name_H-M_alt 'P 1 2/m 1'
_space_group_IT_number 10
_space_group_name_Hall '-P 2y'
loop_
_atom_site_label
_atom_site_fract_x
_atom_site_fract_y
_atom_site_fract_z
Na1 0.000 0.000 0.000
Na2 0.000 0.500 0.500
Nb1 0.337 0.000 0.373
Hg1 0.469 0.500 0.816
```

=====

Below is an optimized crystal structure of Pr2Y4Sn3O2, with properties calculated at the PBE level.

formation energy without anion corrections	-1.54	eV/atom
raw total energy	-6.7570	eV/atom
calculated volume	563.2	Å³/cell

The structure in CIF format:
```
data_Pr2Y4Sn3O2
_cell_length_a 4.689
_cell_length_b 4.689
_cell_length_c 25.614
_cell_angle_alpha 90.00
_cell_angle_beta 90.00
_cell_angle_gamma 90.00
_space_group_name_H-M_alt 'I 4/m m m'
_space_group_IT_number 139
_space_group_name_Hall '-I 4 2'
loop_
_atom_site_label
_atom_site_fract_x
_atom_site_fract_y
_atom_site_fract_z
Pr1 0.000 0.000 0.195
Y1 0.000 0.500 0.082
Sn1 0.000 0.000 0.326
Sn2 0.000 0.000 0.500
O1 0.000 0.000 0.093
```

=====

Below is an optimized crystal structure of Tb2PrAu, with properties calculated at the PBE level.

raw total energy	-4.7302	eV/atom
calculated volume	115.7	Å³/cell
ΔE_f	-0.40	eV per atom

The structure in CIF format:
```
data_Tb2PrAu
_cell_length_a 3.659
_cell_length_b 3.659
_cell_length_c 8.638
_cell_angle_alpha 90.00
_cell_angle_beta 90.00
_cell_angle_gamma 90.00
_space_group_name_H-M_alt 'P 4/m m m'
_space_group_IT_number 123
_space_group_name_Hall '-P 4 2'
loop_
_atom_site_label
_atom_site_fract_x
_atom_site_fract_y
_atom_site_fract_z
Tb1 0.000 0.000 0.201
Pr1 0.500 0.500 0.500
Au1 0.500 0.500 0.000
```

=====

Below is an optimized crystal structure of LaCo2Pb, with properties calculated at the PBE level.

raw total energy	-5.8123	eV/atom
calculated volume	261.3	Å³/cell
ΔE_f	-0.10	eV per atom

The structure in CIF format:
```
data_LaCo2Pb
_cell_length_a 4.0998
_cell_length_b 4.0998
_cell_length_c 17.9474
_cell_angle_alpha 90.00
_cell_angle_beta 90.00
_cell_angle_gamma 120.00
_space_group_name_H-M_alt 'R 3 m'
_space_group_IT_number 160
_space_group_name_Hall 'R 3 -2"'
loop_
_atom_site_label
_atom_site_fract_x
_atom_site_fract_y
_atom_site_fract_z
La1 0.0000 0.0000 0.0000
Co1 0.0000 0.0000 0.4394
Co2 0.0000 0.0000 0.7722
Pb1 0.0000 0.0000 0.1893
```

=====

Below is an optimized crystal structure of MgPt2Se, with properties calculated at the PBE level.

formation energy without anion corrections	-0.33	eV/atom
raw total energy	-4.6233	eV/atom
calculated volume	136.1	Å³/cell

The structure in CIF format:
```
data_MgPt2Se
_cell_length_a 3.710
_cell_length_b 4.067
_cell_length_c 9.018
_cell_angle_alpha 90.00
_cell_angle_beta 90.00
_cell_angle_gamma 90.00
_space_group_name_H-M_alt 'I m m m'
_space_group_IT_number 71
_space_group_name_Hall '-I 2 2'
loop_
_atom_site_label
_atom_site_fract_x
_atom_site_fract_y
_atom_site_fract_z
Mg1 0.000 0.000 0.000
Pt1 0.000 0.500 0.217
Se1 0.000 0.000 0.500
```

=====

Below is an optimized crystal structure of Tb4Bi2P, with properties calculated at the PBE level.

raw total energy	-5.2624	eV/atom
calculated volume	407.3	Å³/cell
ΔE_f	-0.73	eV per atom

The structure in CIF format:
```
data_Tb4Bi2P
_cell_length_a 6.816
_cell_length_b 6.667
_cell_length_c 9.516
_cell_angle_alpha 90.00
_cell_angle_beta 109.61
_cell_angle_gamma 90.00
_space_group_name_H-M_alt 'P 1 21/m 1'
_space_group_IT_number 11
_space_group_name_Hall '-P 2yb'
loop_
_atom_site_label
_atom_site_fract_x
_atom_site_fract_y
_atom_site_fract_z
Tb1 0.003 0.003 0.257
Tb2 0.405 0.750 0.070
Tb3 0.430 0.750 0.634
Bi1 0.201 0.250 0.045
Bi2 0.206 0.250 0.553
P1 0.335 0.750 0.334
```

=====

Below is an optimized crystal structure of Tc2PdBr, with properties calculated at the PBE level.

formation energy without anion corrections	0.84	eV/atom
raw total energy	-6.0546	eV/atom
calculated volume	247.3	Å³/cell

The structure in CIF format:
```
data_Tc2PdBr
_cell_length_a 6.277
_cell_length_b 6.277
_cell_length_c 6.277
_cell_angle_alpha 90.00
_cell_angle_beta 90.00
_cell_angle_gamma 90.00
_space_group_name_H-M_alt 'F m -3 m'
_space_group_IT_number 225
_space_group_name_Hall '-F 4 2 3'
loop_
_atom_site_label
_atom_site_fract_x
_atom_site_fract_y
_atom_site_fract_z
Tc1 0.250 0.250 0.250
Pd1 0.000 0.000 0.000
Br1 0.000 0.000 0.500
```

=====

Below is an optimized crystal structure of LiSc3Ir, with properties calculated at the PBE level.

raw total energy	-6.1650	eV/atom
calculated volume	132.5	Å³/cell
ΔE_f	-0.21	eV per atom

The structure in CIF format:
```
data_LiSc3Ir
_cell_length_a 5.098
_cell_length_b 5.098
_cell_length_c 5.098
_cell_angle_alpha 90.00
_cell_angle_beta 90.00
_cell_angle_gamma 90.00
_space_group_name_H-M_alt 'P m -3 m'
_space_group_IT_number 221
_space_group_name_Hall '-P 4 2 3'
loop_
_atom_site_label
_atom_site_fract_x
_atom_site_fract_y
_atom_site_fract_z
Li1 0.000 0.000 0.000
Sc1 0.000 0.500 0.500
Ir1 0.500 0.500 0.500
```

=====

Below is an optimized crystal structure of La2Pr4NdY2, with properties calculated at the PBE level.

raw total energy	-5.1821	eV/atom
calculated volume	639.2	Å³/cell
ΔE_f	0.00	eV per atom

The structure in CIF format:
```
data_La2Pr4NdY2
_cell_length_a 19.303
_cell_length_b 3.723
_cell_length_c 9.881
_cell_angle_alpha 90.00
_cell_angle_beta 115.80
_cell_angle_gamma 90.00
_space_group_name_H-M_alt 'C 1 2/m 1'
_space_group_IT_number 12
_space_group_name_Hall '-C 2y'
loop_
_atom_site_label
_atom_site_fract_x
_atom_site_fract_y
_atom_site_fract_z
La1 0.167 0.000 0.499
Pr1 0.018 0.000 0.836
Pr2 0.186 0.500 0.833
Nd1 0.000 0.500 0.500
Y1 0.148 0.500 0.167
```

=====

Below is an optimized crystal structure of Ho3Sc2, with properties calculated at the PBE level.

raw total energy	-5.2466	eV/atom
calculated volume	1131.8	Å³/cell
ΔE_f	0.03	eV per atom

The structure in CIF format:
```
data_Ho3Sc2
_cell_length_a 11.214
_cell_length_b 15.982
_cell_length_c 6.315
_cell_angle_alpha 90.00
_cell_angle_beta 90.00
_cell_angle_gamma 90.00
_space_group_name_H-M_alt 'F d d 2'
_space_group_IT_number 43
_space_group_name_Hall 'F 2 -2d'
loop_
_atom_site_label
_atom_site_fract_x
_atom_site_fract_y
_atom_site_fract_z
Ho1 0.000 0.000 0.000
Ho2 0.043 0.298 0.602
Sc1 0.051 0.398 0.066
```